Here is crystalline Mg2ScInCl8 at its relaxed geometry from Alexandria. Energies are from PBE-GGA.

abc: 6.368 6.363 8.812
angles: 78.31 78.30 77.33
Element x y z (fractional)
Mg 0.450 0.449 0.717
Mg 0.550 0.551 0.283
Sc 0.000 0.000 0.000
In 0.000 0.000 0.500
Cl 0.196 0.751 0.211
Cl 0.743 0.745 0.041
Cl 0.753 0.197 0.211
Cl 0.804 0.249 0.789
Cl 0.257 0.255 0.959
Cl 0.247 0.803 0.789
Cl 0.668 0.668 0.489
Cl 0.332 0.332 0.511

Space-group type   P-1 (2)
Uncorrected formation energy   -1.701 eV per atom